Record 1
12
Lattice="-1.247 -1.217 -2.766 -7.484 -2.533 4.488 -5.246 9.299 -1.725" Properties=species:S:1:pos:R:3 comment="PBE Tm3Zr2Sc, relaxed" sg=P2_1/m n_ef_per_ev_cell=18.43 formation_enthalpy_0k_ev_per_atom=0.136 energy_ev_per_atom=-6.004 de_polymorph_ev_per_atom=0.000 pbc="T T T"
Tm -8.448 -2.024 1.801
Tm -5.528 7.573 -1.804
Tm -11.142 5.177 -0.151
Tm -2.834 0.373 0.148
Tm -5.358 2.281 0.446
Tm -8.619 3.268 -0.450
Zr -8.278 6.735 -0.196
Zr -5.699 -1.185 0.193
Zr -3.486 2.497 -2.424
Zr -10.491 3.053 2.421
Sc -7.964 1.160 2.114
Sc -6.012 4.390 -2.118

---

Record 2
8
Lattice="-3.998 3.367 1.999 -5.287 -1.809 0.305 -2.313 -1.055 4.986" Properties=species:S:1:pos:R:3 comment="PBE Pt7Rh, relaxed" sg=Fm-3m n_ef_per_ev_cell=16.06 formation_enthalpy_0k_ev_per_atom=-0.002 energy_ev_per_atom=-6.207 pbc="T T T"
Pt -1.157 -0.528 2.493
Pt -2.644 -0.904 0.153
Pt -3.800 -1.432 2.645
Pt -1.999 1.684 0.999
Pt -3.156 1.156 3.492
Pt -4.643 0.779 1.152
Pt -5.799 0.252 3.645
Rh 0.000 0.000 0.000

---

Record 3
4
Lattice="-0.882 2.264 -2.955 -3.655 0.876 -0.715 -0.687 9.707 5.164" Properties=species:S:1:pos:R:3 comment="PBE TbGd2Te, relaxed" sg=R-3m n_ef_per_ev_cell=7.72 e_form_raw_ev_per_atom=-0.28 energy_ev_per_atom=-9.262 de_polymorph_ev_per_atom=0.317 pbc="T T T"
Te -2.612 6.423 0.747
Gd -0.937 7.078 3.225
Gd -4.286 5.769 -1.731
Tb 0.000 0.000 0.000

---

Record 4
4
Lattice="3.145 0.000 0.000 0.000 4.502 0.000 0.000 0.000 4.502" Properties=species:S:1:pos:R:3 comment="PBE TaTi2Os, relaxed" sg=P4/mmm n_ef_per_ev_cell=5.76 formation_enthalpy_0k_ev_per_atom=-0.263 energy_ev_per_atom=-9.981 de_polymorph_ev_per_atom=0.069 pbc="T T T"
Ti 0.000 0.000 2.251
Ti 0.000 2.251 0.000
Os 1.572 2.251 2.251
Ta 1.572 0.000 0.000

---

Record 5
4
Lattice="4.717 0.000 0.000 0.000 4.437 0.000 -2.358 0.000 5.932" Properties=species:S:1:pos:R:3 comment="PBE PrNdInSn, relaxed" sg=Amm2 n_ef_per_ev_cell=4.10 formation_enthalpy_0k_ev_per_atom=-0.644 energy_ev_per_atom=-4.716 de_polymorph_ev_per_atom=0.000 pbc="T T T"
Pr 2.358 2.219 4.295
Nd 0.000 0.000 1.639
In 0.000 0.000 4.937
Sn 2.358 2.219 0.991

---

Record 6
12
Lattice="8.676 0.000 -1.250 -5.696 2.750 4.792 -2.716 0.000 8.334" Properties=species:S:1:pos:R:3 comment="PBE Li8HgPd3, relaxed" sg=Fmmm n_ef_per_ev_cell=4.07 formation_enthalpy_0k_ev_per_atom=-0.298 energy_ev_per_atom=-2.897 pbc="T T T"
Li 0.453 0.000 2.746
Li -0.842 1.396 6.759
Li 4.854 1.354 1.966
Li 3.332 0.000 6.167
Li 5.506 0.000 4.338
Li 1.107 1.354 5.118
Li -4.589 1.396 9.910
Li 2.628 0.000 0.917
Hg 5.960 0.000 7.084
Pd 1.622 1.375 7.710
Pd -1.358 1.375 4.168
Pd 2.980 0.000 3.542